(1)
PrTlSnPb after structural relaxation, computed with PBE.

Values from the calculation:
Formation energy from the elements in meV/atom: -419
DFT total energy in eV per cell: -16.53
N(E_F) in states/eV per atom: 0.4063
Magnetization in μB/cell: 0.00

a = 4.793 Å, b = 4.846 Å, c = 4.952 Å
α = 90.00°, β = 90.00°, γ = 90.00°
Atoms (fractional coordinates):
Pr: 0.000 0.000 0.000
Tl: 0.500 0.500 0.000
Sn: 0.500 0.000 0.500
Pb: 0.000 0.500 0.500

(2)
ReOs2Rh after structural relaxation, computed with PBE.

Values from the calculation:
Formation energy from the elements in meV/atom: 75
Energy relative to the lowest polymorph listed for this composition in meV per atom: 37
DFT total energy in eV per cell: -41.96
N(E_F) in states/eV per atom: 1.1063
Magnetization in μB/cell: 0.00

a = 9.050 Å, b = 9.050 Å, c = 9.050 Å
α = 17.41°, β = 17.41°, γ = 17.41°
Atoms (fractional coordinates):
Re: 0.000 0.000 0.000
Os: 0.499 0.499 0.499
Os: 0.750 0.750 0.750
Rh: 0.250 0.250 0.250

(3)
PmCo2C2 after structural relaxation, computed with PBE.

Values from the calculation:
Formation energy from the elements in meV/atom: -131
DFT total energy in eV per cell: -38.07
N(E_F) in states/eV per atom: 0.4162
Magnetization in μB/cell: 0.00

a = 5.719 Å, b = 5.719 Å, c = 5.719 Å
α = 145.82°, β = 145.82°, γ = 49.12°
Atoms (fractional coordinates):
Pm: 0.000 0.000 0.000
Co: 0.250 0.750 0.500
Co: 0.750 0.250 0.500
C: 0.346 0.346 0.000
C: 0.654 0.654 0.000

(4)
Te2PtAu after structural relaxation, computed with PBE.

Values from the calculation:
DFT total energy in eV per cell: -16.06
E_form (uncorrected) in meV per atom: -116
N(E_F) in states/eV per atom: 0.4594
Magnetization in μB/cell: 0.00

a = 4.560 Å, b = 4.740 Å, c = 4.740 Å
α = 71.53°, β = 90.00°, γ = 90.00°
Atoms (fractional coordinates):
Te: 0.000 0.000 0.000
Te: 0.500 0.400 0.400
Pt: 0.500 0.820 0.820
Au: 0.000 0.601 0.601

(5)
CdW2 after structural relaxation, computed with PBE.

Values from the calculation:
Formation energy from the elements in meV/atom: 1014
Energy relative to the lowest polymorph listed for this composition in meV per atom: 533
DFT total energy in eV per cell: -47.56
N(E_F) in states/eV per atom: 0.4631
Magnetization in μB/cell: 0.00

a = 5.278 Å, b = 5.278 Å, c = 5.278 Å
α = 103.71°, β = 103.71°, γ = 121.73°
Atoms (fractional coordinates):
Cd: 0.250 0.250 0.000
Cd: 0.750 0.750 0.000
W: 0.130 0.630 0.759
W: 0.370 0.130 0.500
W: 0.630 0.870 0.500
W: 0.870 0.370 0.241

(6)
Cd2TeIr2 after structural relaxation, computed with PBE.

Values from the calculation:
DFT total energy in eV per cell: -42.27
E_form (uncorrected) in meV per atom: 312
N(E_F) in states/eV per atom: 0.5984
Magnetization in μB/cell: 0.00

a = 7.788 Å, b = 7.788 Å, c = 3.177 Å
α = 90.00°, β = 90.00°, γ = 90.00°
Atoms (fractional coordinates):
Cd: 0.132 0.368 0.000
Cd: 0.368 0.868 0.000
Cd: 0.632 0.132 0.000
Cd: 0.868 0.632 0.000
Te: 0.000 0.000 0.500
Te: 0.500 0.500 0.500
Ir: 0.168 0.668 0.500
Ir: 0.332 0.168 0.500
Ir: 0.668 0.832 0.500
Ir: 0.832 0.332 0.500